# 1
Crystalline Fe2MoF at its relaxed geometry. Source: the Alexandria database, functional PBE with a Hubbard U.

Cell and atoms, written as extended XYZ:
```
4
Lattice="-4.443 -1.052 0.102 -3.035 2.703 -2.084 -2.097 -1.425 -3.799" Properties=species:S:1:pos:R:3 pbc="T T T"
Mo -4.788 0.113 -2.890
Fe -2.394 0.056 -1.445
Fe -7.181 0.169 -4.335
F 0.000 0.000 0.000
```

Calculated values
Its relative energy among the computed polymorphs is 360 meV/atom. Its space-group type is Fm-3m (225). As for the total moment: 2.81 μB/cell. Its calculated density is 5.59 g/cm³. The calculation puts the total energy at -16.87 eV/cell.

***

# 2
Crystalline FeMoNF2 at its relaxed geometry. Source: the Alexandria database, functional PBE with a Hubbard U.

Cell and atoms, written as extended XYZ:
```
5
Lattice="4.210 0.000 0.000 0.000 4.210 0.000 0.000 0.000 4.009" Properties=species:S:1:pos:R:3 pbc="T T T"
Mo 0.000 0.000 0.000
N 0.000 0.000 2.004
Fe 2.105 2.105 2.004
F 0.000 2.105 0.000
F 2.105 0.000 0.000
```

Calculated values
Its relative energy among the computed polymorphs is 37 meV/atom. Its space-group type is P4/mmm (123). As for the total moment: 5.09 μB/cell. Its calculated density is 4.76 g/cm³. The calculation puts the total energy at -27.44 eV/cell.

***

# 3
Crystalline FeMoN2F at its relaxed geometry. Source: the Alexandria database, functional PBE with a Hubbard U.

Cell and atoms, written as extended XYZ:
```
5
Lattice="-2.477 0.404 3.016 0.457 -3.795 0.884 2.914 0.880 2.275" Properties=species:S:1:pos:R:3 pbc="T T T"
Mo 0.447 -1.255 3.088
N 0.228 -1.898 0.442
N -1.238 0.202 1.508
Fe 0.000 0.000 0.000
F 1.457 0.440 1.138
```

Calculated values
Its relative energy among the computed polymorphs is 262 meV/atom. Its space-group type is P4/mmm (123). As for the total moment: 7.06 μB/cell. Its calculated density is 5.64 g/cm³. The calculation puts the total energy at -29.21 eV/cell.

***

# 4
Crystalline FeMoNF2 at its relaxed geometry. Source: the Alexandria database, functional PBE with a Hubbard U.

Cell and atoms, written as extended XYZ:
```
5
Lattice="3.648 0.000 0.000 0.000 6.735 0.000 0.000 0.000 3.648" Properties=species:S:1:pos:R:3 pbc="T T T"
Mo 0.000 3.367 0.000
N 1.824 3.367 1.824
Fe 0.000 0.000 0.000
F 0.000 0.000 1.824
F 1.824 0.000 0.000
```

Calculated values
Its relative energy among the computed polymorphs is 130 meV/atom. Its space-group type is P4/mmm (123). As for the total moment: 1.00 μB/cell. Its calculated density is 3.78 g/cm³. The calculation puts the total energy at -26.97 eV/cell.

***

# 5
Crystalline FeMoN2F at its relaxed geometry. Source: the Alexandria database, functional PBE with a Hubbard U.

Cell and atoms, written as extended XYZ:
```
5
Lattice="4.022 0.000 0.000 0.000 4.022 0.000 0.000 0.000 4.069" Properties=species:S:1:pos:R:3 pbc="T T T"
Mo 0.000 0.000 0.000
N 0.000 2.011 0.000
N 2.011 0.000 0.000
Fe 2.011 2.011 2.034
F 0.000 0.000 2.034
```

Calculated values
Its relative energy among the computed polymorphs is 0 meV/atom. Its space-group type is P4/mmm (123). As for the total moment: 4.97 μB/cell. Its calculated density is 5.01 g/cm³. The calculation puts the total energy at -30.52 eV/cell.

***

# 6
Crystalline FeMoNF2 at its relaxed geometry. Source: the Alexandria database, functional PBE with a Hubbard U.

Cell and atoms, written as extended XYZ:
```
5
Lattice="-1.362 -1.990 3.082 1.207 -3.347 -1.628 3.714 0.411 1.907" Properties=species:S:1:pos:R:3 pbc="T T T"
Mo 1.779 -2.463 1.680
N 1.857 0.206 0.954
Fe 0.000 0.000 0.000
F 0.603 -1.674 -0.814
F -0.681 -0.995 1.541
```

Calculated values
Its relative energy among the computed polymorphs is 0 meV/atom. Its space-group type is P4/mmm (123). As for the total moment: 9.00 μB/cell. Its calculated density is 5.27 g/cm³. The calculation puts the total energy at -27.62 eV/cell.